Record 1
A relaxed structure of YBHPt6, computed with GGA-PBE.

Geometry as extended XYZ:
```
18
Lattice="7.3115 0.0000 0.0000 0.0000 7.4524 0.0000 -3.6557 -3.7262 5.3152" Properties=species:S:1:pos:R:3 pbc="T T T"
Y 3.6557 1.8631 4.3955
Y 0.0000 1.8631 0.9197
H 1.8279 -1.8631 2.6576
H -1.8279 -1.8631 2.6576
Pt 3.6557 1.8631 1.0831
Pt 5.3047 4.0103 1.3176
Pt 0.0000 1.8631 4.2321
Pt -1.6490 -0.2841 3.9976
Pt 1.6490 4.0103 3.9976
Pt 0.0000 5.5893 2.1725
Pt 3.6557 -1.8631 3.1427
Pt 1.6490 -0.2841 3.9976
Pt -1.6490 4.0103 3.9976
Pt 2.0067 -0.2841 1.3176
Pt 5.3047 -0.2841 1.3176
Pt 2.0067 4.0103 1.3176
B 3.6557 0.0000 0.0000
B 3.6557 3.7262 0.0000
```

Properties
density of states at the Fermi level	6.096	states/eV per cell
final energy	-6.2456	eV/atom

=====

Record 2
A relaxed structure of Pu2BH, computed with GGA-PBE.

Geometry as extended XYZ:
```
4
Lattice="3.0906 0.0000 0.0000 0.0000 3.0906 0.0000 0.0000 0.0000 6.2472" Properties=species:S:1:pos:R:3 pbc="T T T"
H 1.5453 1.5453 3.1236
Pu 0.0000 0.0000 1.5079
Pu 0.0000 0.0000 4.7393
B 1.5453 1.5453 0.0000
```

Properties
density of states at the Fermi level	6.870	states/eV per cell
final energy	-9.6384	eV/atom